# Nd2Zn7Au

Crystalline Nd2Zn7Au at its relaxed geometry (PBE, Alexandria via LeMat-Bulk).

Properties
SG: P-4m2, No. 115
Spin magnetization: 0.000 μB/cell
ρ: 8.04 g cm⁻³
DOS(E_F): 6.363 states/eV/f.u.
ΔH_f (0 K): -3.59 eV per formula unit
V: 19.48 Å³/atom

Lattice parameters (Å, degrees): 4.277 4.277 10.649 90.00 90.00 90.00
Sites, in units of the cell vectors:
Zn1 0.500 0.000 0.142
Zn2 0.000 0.000 0.500
Zn3 0.500 0.500 0.500
Nd1 0.500 0.000 0.743
Zn4 0.000 0.500 0.858
Zn5 0.500 0.000 0.372
Zn6 0.000 0.000 0.000
Au1 0.500 0.500 0.000
Zn7 0.000 0.500 0.628
Nd2 0.000 0.500 0.257